Density functional theory data (GGA-PBE) for a relaxed TiRePb3 crystal.

The value obtained for the relative energy among the computed polymorphs is 5.29 kcal/mol of atoms. Its energy is -0.3590 Ry per atom. For the total magnetization, the calculation gives 4.97 μB per cell. For the formation energy, the calculation gives 1.41 eV per atom. The calculation puts the density of states at the Fermi level at 3.61 states/eV per cell.

It has space group Pm-3m (No. 221), with a = 5.371 Å, b = 5.371 Å, c = 5.371 Å, α = 90.00°, β = 90.00° and γ = 90.00°. Symmetry generates all atoms from Ti at (0.000, 0.000, 0.000), Re at (0.500, 0.500, 0.500) and Pb at (0.000, 0.000, 0.500).